[1]
First-principles (PBE) data for K3Ta2 after structural relaxation, as listed in Alexandria.

Calculated values
The density of states at the Fermi level comes out at 6.32 states/eV per cell. The space-group type is R-3m. The total moment comes out at 0.173 μB per atom. The total energy is -0.1499 Ha/atom.

abc: 17.1970 17.1970 17.1970
angles: 10.30 10.30 10.30
Closest atoms and distances in Å follow each position.
Positions (direct):
K  0.0000  0.0000  0.0000  6 K 3.09
K  0.2077  0.2077  0.2077  6 K 3.09
K  0.7923  0.7923  0.7923  6 K 3.09
Ta  0.3972  0.3972  0.3972  6 Ta 3.09
Ta  0.6028  0.6028  0.6028  6 Ta 3.09

***

[2]
First-principles (PBE) data for KTa3 after structural relaxation, as listed in Alexandria.

Calculated values
The density of states at the Fermi level comes out at 5.01 states/eV per cell. The energy relative to the lowest polymorph listed for this composition comes out at 3.342 eV/f.u. The space-group type is P4/mmm. The total moment comes out at 0.000 μB per atom. The total energy is -0.2793 Ha/atom.

abc: 4.8127 4.8127 3.5601
angles: 90.00 90.00 90.00
Closest atoms and distances in Å follow each position.
Positions (direct):
K  0.0000  0.0000  0.0000  8 Ta 2.99
Ta  0.0000  0.5000  0.5000  4 Ta 2.99, 4 K 2.99
Ta  0.5000  0.0000  0.5000  4 Ta 2.99, 4 K 2.99
Ta  0.5000  0.5000  0.0000  8 Ta 2.99

***

[3]
First-principles (PBE) data for KTa after structural relaxation, as listed in Alexandria.

Calculated values
The density of states at the Fermi level comes out at 7.69 states/eV per cell. The energy relative to the lowest polymorph listed for this composition comes out at 4.818 eV/f.u. The space-group type is P6_3/mmc. The total moment comes out at 2.039 μB per atom. The total energy is -0.1221 Ha/atom.

abc: 5.4601 5.4601 6.3203
angles: 90.00 90.00 120.00
Closest atoms and distances in Å follow each position.
Positions (direct):
K  0.0000  0.0000  0.0000  2 K 3.16, 6 Ta 3.53
K  0.0000  0.0000  0.5000  2 K 3.16, 6 Ta 3.53
Ta  0.3333  0.6667  0.2500  6 K 3.53
Ta  0.6667  0.3333  0.7500  6 K 3.53

***

[4]
First-principles (PBE) data for KTa after structural relaxation, as listed in Alexandria.

Calculated values
The density of states at the Fermi level comes out at 5.28 states/eV per cell. The energy relative to the lowest polymorph listed for this composition comes out at 0.494 eV/f.u. The space-group type is P4/nmm. The total moment comes out at 0.002 μB per atom. The total energy is -0.2016 Ha/atom.

abc: 2.9747 2.9747 12.7882
angles: 90.00 90.00 90.00
Closest atoms and distances in Å follow each position.
Positions (direct):
K  0.2500  0.2500  0.1635  4 K 2.97
K  0.7500  0.7500  0.8365  4 K 2.97
Ta  0.2500  0.2500  0.5821  8 Ta 2.97
Ta  0.7500  0.7500  0.4179  8 Ta 2.97

***

[5]
First-principles (PBE) data for KTa after structural relaxation, as listed in Alexandria.

Calculated values
The density of states at the Fermi level comes out at 10.99 states/eV per cell. The energy relative to the lowest polymorph listed for this composition comes out at 2.020 eV/f.u. The space-group type is Fddd. The total moment comes out at 0.179 μB per atom. The total energy is -0.1736 Ha/atom.

abc: 9.3863 8.6385 5.9433
angles: 77.72 64.06 38.22
Closest atoms and distances in Å follow each position.
Positions (direct):
K  0.0316  0.7184  0.0316  1 K 3.09, 2 Ta 3.40
K  0.2816  0.9684  0.2816  1 K 3.09, 2 Ta 3.40
K  0.7184  0.0316  0.7184  1 K 3.09, 2 Ta 3.40
K  0.9684  0.2816  0.9684  1 K 3.09, 2 Ta 3.40
Ta  0.3018  0.3018  0.4482  1 Ta 2.34
Ta  0.4482  0.4482  0.3018  1 Ta 2.34
Ta  0.5518  0.5518  0.6982  1 Ta 2.34
Ta  0.6982  0.6982  0.5518  1 Ta 2.34

***

[6]
First-principles (PBE) data for KTa3 after structural relaxation, as listed in Alexandria.

Calculated values
The density of states at the Fermi level comes out at 2.07 states/eV per cell. The energy relative to the lowest polymorph listed for this composition comes out at 0.000 eV/f.u. The space-group type is P4/mmm. The total moment comes out at 0.000 μB per atom. The total energy is -0.3100 Ha/atom.

abc: 3.3607 3.3607 9.2912
angles: 90.00 90.00 90.00
Closest atoms and distances in Å follow each position.
Positions (direct):
K  0.0000  0.0000  0.0000  4 K 3.36
Ta  0.0000  0.0000  0.5000  8 Ta 2.77
Ta  0.5000  0.5000  0.3473  5 Ta 2.77-2.84
Ta  0.5000  0.5000  0.6527  5 Ta 2.77-2.84

***

- Which of these has the highest total moment?
  number 3